# 1
! GGA-PBE Zr5PtRh, optimized geometry; values from VASP
! energy of formation from the pure elements	-386	meV/atom
! crystal system	monoclinic
! symmetry	C2/c, No. 15
! total magnetization	0.00	Bohr magnetons per cell
&SYSTEM
  ibrav = 0, nat = 14, ntyp = 3
/
ATOMIC_SPECIES
Zr 91.22 Zr.upf
Pt 195.08 Pt.upf
Rh 102.91 Rh.upf
ATOMIC_POSITIONS crystal
Zr 0.0439 0.6231 0.1666
Zr 0.2308 0.4122 0.4985
Zr 0.6231 0.0439 0.6666
Zr 0.8373 0.1627 0.2500
Zr 0.5878 0.7692 0.0015
Zr 0.4122 0.2308 0.9985
Zr 0.1627 0.8373 0.7500
Zr 0.3769 0.9561 0.3334
Zr 0.7692 0.5878 0.5015
Zr 0.9561 0.3769 0.8334
Pt 0.4964 0.5036 0.2500
Pt 0.5036 0.4964 0.7500
Rh 0.0000 0.0000 0.0000
Rh 0.0000 0.0000 0.5000
CELL_PARAMETERS angstrom
5.7207 -1.0375 -0.8822
0.8310 5.7543 -0.8822
1.2454 0.8966 8.6658

=====

# 2
! GGA-PBE ZrPtRh4, optimized geometry; values from VASP
! energy of formation from the pure elements	-278	meV/atom
! crystal system	cubic
! symmetry	F-43m, No. 216
! total magnetization	0.00	Bohr magnetons per cell
&SYSTEM
  ibrav = 0, nat = 6, ntyp = 3
/
ATOMIC_SPECIES
Zr 91.22 Zr.upf
Pt 195.08 Pt.upf
Rh 102.91 Rh.upf
ATOMIC_POSITIONS crystal
Zr 0.7500 0.7500 0.7500
Pt 0.0000 0.0000 0.0000
Rh 0.8773 0.3742 0.3742
Rh 0.3742 0.3742 0.8773
Rh 0.3742 0.8773 0.3742
Rh 0.3742 0.3742 0.3742
CELL_PARAMETERS angstrom
-4.8840 -1.5576 0.3999
-3.7194 3.4200 0.9534
-3.3908 1.2020 -3.6738